# In2TcMo

A relaxed In2TcMo crystal (GGA-PBE, Alexandria via LeMat-Bulk).

POSCAR file:
```
In2TcMo
1.0
-0.949 -3.165 0.549
4.177 -1.528 -1.594
1.701 0.226 4.241
Tc In Mo
1 2 1
Direct
0.000 0.500 0.500
0.000 0.000 0.000
0.500 0.500 0.000
0.500 0.000 0.500
```

Values from the calculation:
Crystal system = orthorhombic
Energy relative to the elements = 0.48 eV/atom


# ZrTePt2

A relaxed ZrTePt2 crystal (GGA-PBE, Alexandria via LeMat-Bulk).

POSCAR file:
```
ZrTePt2
1.0
5.186 0.018 0.006
1.627 4.924 -0.006
-3.138 -2.841 2.996
Pt Zr Te
2 1 1
Direct
0.731 0.231 0.500
0.984 0.984 0.000
0.267 0.767 0.500
0.517 0.517 0.000
```

Values from the calculation:
Crystal system = orthorhombic
Raw formation energy = -493.4 meV/atom


Computed ρ, in the same sequence as the records: 9.71 13.24 g/cm3.
Computed M_tot, in the same sequence as the records: 0.00 0.00 μB/f.u..